The following is a DFT calculation (PBE) of a geometry-optimized SiRuAu3 structure.

Results
crystal system	cubic
VASP energy	-4.079	eV/atom
total magnetization	2.30	μB/cell
ΔE to the lowest computed polymorph	0.0	kJ/mol of atoms
density	11.76	g cm⁻³
uncorrected formation energy	0.8271	eV/atom

Cell and atoms, written as extended XYZ:
```
5
Lattice="4.667 0.000 0.000 0.000 4.667 0.000 0.000 0.000 4.667" Properties=species:S:1:pos:R:3 pbc="T T T"
Si 0.000 0.000 0.000
Ru 2.334 2.334 2.334
Au 0.000 0.000 2.334
Au 0.000 2.334 0.000
Au 2.334 0.000 0.000
```